# 1
Computed, not measured: crystalline LiNiCl at its relaxed geometry at the PBE level of DFT.

Unit cell a=4.469 b=4.469 c=5.205 alpha=90.00 beta=90.00 gamma=90.00
Fractional positions:
Ni 0.000 0.500 0.675
Ni 0.500 0.000 0.325
Li 0.000 0.500 0.174
Li 0.500 0.000 0.826
Cl 0.000 0.000 0.500
Cl 0.500 0.500 0.500

- Space-group type: P4/nmm (129)
- Total energy: -3.188 eV/atom
- Formation energy (no corrections): -0.008 eV/atom
- M_tot: 1.0 μB/cell
- Calculated volume: 104.0 Å³ per cell

***

# 2
Computed, not measured: crystalline SrBeN3 at its relaxed geometry at the PBE level of DFT.

Unit cell a=3.726 b=3.726 c=3.726 alpha=90.00 beta=90.00 gamma=90.00
Fractional positions:
Sr 0.500 0.500 0.500
Be 0.000 0.000 0.000
N 0.000 0.500 0.000
N 0.000 0.000 0.500
N 0.500 0.000 0.000

- Space-group type: Pm-3m (221)
- Total energy: -5.377 eV/atom
- Formation energy (no corrections): 0.700 eV/atom
- M_tot: 0.0 μB/cell
- Calculated volume: 51.7 Å³ per cell